Entry 1:
A geometry-optimized ScFeCuB structure, computed with GGA-PBE.

## Properties
Energy above the most stable polymorph in this dataset   187 meV/atom
Total magnetization   0.67 Bohr magnetons per cell

POSCAR file:
```
ScFeCuB
1.0
0.000 2.865 2.865
2.865 0.000 2.865
2.865 2.865 0.000
Sc Fe Cu B
1 1 1 1
Cartesian
0.000 0.000 0.000
4.297 4.297 4.297
1.432 1.432 1.432
2.865 2.865 2.865
```

***

Entry 2:
A geometry-optimized ScFeCuB structure, computed with GGA-PBE.

## Properties
Energy above the most stable polymorph in this dataset   250 meV/atom
Total magnetization   2.14 Bohr magnetons per cell

POSCAR file:
```
ScFeCuB
1.0
0.000 2.931 2.931
2.931 0.000 2.931
2.931 2.931 0.000
Sc Fe Cu B
1 1 1 1
Cartesian
0.000 0.000 0.000
1.465 1.465 1.465
2.931 2.931 2.931
4.396 4.396 4.396
```

***

Entry 3:
A geometry-optimized ScFeCu4B2 structure, computed with GGA-PBE.

## Properties
Energy above the most stable polymorph in this dataset   0 meV/atom
Total magnetization   3.40 Bohr magnetons per cell

POSCAR file:
```
ScFeCu4B2
1.0
3.749 0.000 0.000
0.000 3.749 0.000
0.000 0.000 6.601
Sc Fe Cu B
1 1 4 2
Cartesian
0.000 0.000 0.000
1.874 1.874 3.300
0.000 1.874 1.787
0.000 1.874 4.814
1.874 0.000 1.787
1.874 0.000 4.814
0.000 0.000 3.300
1.874 1.874 0.000
```